[1]
LiIn2Sb2 | Alexandria via LeMat-Bulk | PBE-GGA | optimized geometry; excess energy over the best structure of this formula in the dataset = 0.096 eV per atom; symmetry = I4/mmm (139); formation energy without anion corrections = 0.03 eV/atom
1.0
-2.800 2.800 4.861
2.800 -2.800 4.861
2.800 2.800 -4.861
Li In Sb
1 2 2
Direct
0.000 0.000 0.000
0.356 0.356 0.000
0.644 0.644 0.000
0.250 0.750 0.500
0.750 0.250 0.500

=====

[2]
Sr2Sn2Bi5 | Alexandria via LeMat-Bulk | PBE-GGA | optimized geometry; energy of formation = -293.9 meV/atom; symmetry = Ima2 (46)
1.0
-9.018 5.280 3.280
9.018 -5.280 3.280
9.018 5.280 -3.280
Sr Sn Bi
4 4 10
Direct
0.066 0.100 0.166
0.066 0.400 0.466
0.934 0.600 0.534
0.934 0.900 0.834
0.179 0.516 0.162
0.354 0.016 0.838
0.503 0.003 0.500
0.503 0.503 0.000
0.002 0.318 0.813
0.002 0.690 0.184
0.372 0.158 0.534
0.372 0.339 0.715
0.506 0.190 0.187
0.506 0.818 0.816
0.624 0.658 0.285
0.624 0.839 0.466
0.629 0.977 0.152
0.825 0.477 0.848

=====

[3]
Dy4Er5Pu | Alexandria via LeMat-Bulk | PBE-GGA | optimized geometry; excess energy over the best structure of this formula in the dataset = 0.000 eV per atom; energy of formation = 267.3 meV/atom; symmetry = I4mm (107)
1.0
-5.390 5.390 2.693
5.390 -5.390 2.693
5.390 5.390 -2.693
Dy Er Pu
4 5 1
Direct
0.000 0.324 0.324
0.000 0.676 0.676
0.324 0.000 0.324
0.676 0.000 0.676
0.004 0.004 0.000
0.316 0.316 0.632
0.316 0.684 0.000
0.684 0.316 0.000
0.684 0.684 0.368
0.505 0.505 0.000

=====

[4]
FeTcIr | Alexandria via LeMat-Bulk | PBE-GGA | optimized geometry; excess energy over the best structure of this formula in the dataset = 0.546 eV per atom; energy of formation = 476.0 meV/atom; symmetry = F-43m (216)
1.0
0.000 2.925 2.925
2.925 0.000 2.925
2.925 2.925 0.000
Fe Tc Ir
1 1 1
Direct
0.000 0.000 0.000
0.500 0.500 0.500
0.750 0.750 0.750

=====

[5]
CuSiB | Alexandria via LeMat-Bulk | PBE-GGA | optimized geometry; symmetry = Cm (8); formation energy without anion corrections = 0.19 eV/atom
1.0
3.064 -1.660 0.000
3.064 1.660 0.000
-2.386 0.000 3.576
Cu Si B
1 1 1
Direct
0.000 0.000 0.000
0.445 0.445 0.518
0.725 0.725 0.415

=====

[6]
Li2HoAlS4 | Alexandria via LeMat-Bulk | PBE-GGA | optimized geometry; symmetry = Imma (74); formation energy without anion corrections = -1.48 eV/atom
1.0
-3.629 3.827 5.260
3.629 -3.827 5.260
3.629 3.827 -5.260
Li Ho Al S
4 2 2 8
Direct
0.000 0.000 0.000
0.500 0.000 0.000
0.500 0.000 0.500
0.500 0.500 0.500
0.000 0.500 0.500
0.500 0.500 0.000
0.000 0.000 0.500
0.000 0.500 0.000
0.214 0.244 0.970
0.226 0.756 0.470
0.242 0.234 0.492
0.242 0.750 0.008
0.758 0.250 0.992
0.758 0.766 0.508
0.774 0.244 0.530
0.786 0.756 0.030

=====

[7]
Ac2ZrGaO6 | Alexandria via LeMat-Bulk | PBE-GGA | optimized geometry; symmetry = P4/mmm (123); formation energy without anion corrections = -2.80 eV/atom
1.0
4.172 0.000 0.000
0.000 4.172 0.000
0.000 0.000 8.062
Ac Zr Ga O
2 1 1 6
Direct
0.000 0.000 0.234
0.000 0.000 0.766
0.500 0.500 0.500
0.500 0.500 0.000
0.000 0.500 0.000
0.000 0.500 0.500
0.500 0.000 0.000
0.500 0.000 0.500
0.500 0.500 0.239
0.500 0.500 0.761

=====

[8]
TcPb3F | Alexandria via LeMat-Bulk | PBE-GGA | optimized geometry; excess energy over the best structure of this formula in the dataset = 0.000 eV per atom; symmetry = Pm-3m (221); formation energy without anion corrections = -0.25 eV/atom
1.0
5.268 0.000 0.000
0.000 5.268 0.000
0.000 0.000 5.268
Tc Pb F
1 3 1
Direct
0.000 0.000 0.000
0.000 0.000 0.500
0.000 0.500 0.000
0.500 0.000 0.000
0.500 0.500 0.500

=====

[9]
Pr3Mg2Sn4 | Alexandria via LeMat-Bulk | PBE-GGA | optimized geometry; excess energy over the best structure of this formula in the dataset = 0.022 eV per atom; energy of formation = -571.2 meV/atom; symmetry = P-1 (2)
1.0
4.722 0.000 0.000
-0.007 7.195 0.000
-2.352 -2.893 7.759
Pr Mg Sn
3 2 4
Direct
0.000 0.000 0.000
0.133 0.604 0.268
0.867 0.396 0.732
0.329 0.006 0.659
0.671 0.994 0.341
0.214 0.242 0.426
0.494 0.695 0.988
0.506 0.305 0.012
0.786 0.758 0.574

=====

[10]
Ca5MgAg4 | Alexandria via LeMat-Bulk | PBE-GGA | optimized geometry; energy of formation = -265.5 meV/atom; symmetry = P4/mmm (123)
1.0
3.756 0.000 0.000
0.000 3.756 0.000
0.000 0.000 18.899
Ca Mg Ag
5 1 4
Direct
0.000 0.000 0.000
0.000 0.000 0.193
0.000 0.000 0.385
0.000 0.000 0.615
0.000 0.000 0.807
0.500 0.500 0.500
0.500 0.500 0.097
0.500 0.500 0.291
0.500 0.500 0.709
0.500 0.500 0.903

=====

[11]
RbCaBeSiPdSe | Alexandria via LeMat-Bulk | PBE-GGA | optimized geometry; excess energy over the best structure of this formula in the dataset = 0.000 eV per atom; symmetry = P1 (1); formation energy without anion corrections = -0.79 eV/atom
1.0
4.198 0.000 0.000
-2.099 3.636 0.000
-0.001 -2.408 9.891
Rb Ca Be Si Pd Se
1 1 1 1 1 1
Direct
0.000 0.000 0.000
0.459 0.918 0.380
0.887 0.769 0.660
0.224 0.444 0.672
0.559 0.113 0.676
0.745 0.489 0.236

=====

[12]
LiBeGaI2 | Alexandria via LeMat-Bulk | PBE-GGA | optimized geometry; symmetry = P4/mmm (123); formation energy without anion corrections = -0.07 eV/atom
1.0
6.087 0.000 0.000
0.000 6.087 0.000
0.000 0.000 4.377
Li Be Ga I
1 1 1 2
Direct
0.000 0.000 0.000
0.500 0.500 0.000
0.500 0.500 0.500
0.000 0.500 0.500
0.500 0.000 0.500

=====

Mass density (computed, kg/m³): 5229; 7749; 9181; 11486; 4676; 3797; 8414; 8389; 5961; 4086; 3828; 3476